The following is a PBE calculation of an optimized crystal structure of LaMgAu, from Alexandria.

The space group is P-6m2 (No. 187) and the conventional cell measures 4.8499, 4.8499 and 3.7668 Å, with angles of 90.00, 90.00 and 120.00 degrees. The inequivalent atoms are La at (0.0000, 0.0000, 0.0000), Mg at (0.6667, 0.3333, 0.5000) and Au at (0.3333, 0.6667, 0.5000).

Its density is 7.8 g/cm³. The energy of formation from the pure elements comes out at -0.546 eV/atom.



The following is a PBE calculation of an optimized crystal structure of La3Mg2Au9, from Alexandria.

The space group is Immm (No. 71) and the conventional cell measures 4.484, 10.187 and 13.824 Å, with angles of 90.00, 90.00 and 90.00 degrees. The inequivalent atoms are La at (0.000, 0.000, 0.000), La at (0.000, 0.000, 0.284), Mg at (0.000, 0.181, 0.500), Au at (0.000, 0.298, 0.137), Au at (0.000, 0.364, 0.351) and Au at (0.000, 0.500, 0.000).

Its density is 11.8 g/cm³. The energy of formation from the pure elements comes out at -0.686 eV/atom.



The following is a PBE calculation of an optimized crystal structure of LaMgAu, from Alexandria.

The space group is I4mm (No. 107) and the conventional cell measures 3.540, 3.540 and 12.029 Å, with angles of 90.00, 90.00 and 90.00 degrees. The inequivalent atoms are La at (0.000, 0.000, 0.000), Mg at (0.000, 0.000, 0.712) and Au at (0.000, 0.000, 0.327).

Its density is 7.9 g/cm³. The energy of formation from the pure elements comes out at -0.487 eV/atom.



The following is a PBE calculation of an optimized crystal structure of LaMgAu, from Alexandria.

The space group is F-43m (No. 216) and the conventional cell measures 7.211, 7.211 and 7.211 Å, with angles of 90.00, 90.00 and 90.00 degrees. The inequivalent atoms are La at (0.000, 0.000, 0.000), Mg at (0.250, 0.250, 0.250) and Au at (0.250, 0.250, 0.750).

Its density is 6.4 g/cm³. The energy of formation from the pure elements comes out at 0.005 eV/atom.



The following is a PBE calculation of an optimized crystal structure of LaMg4Au, from Alexandria.

The space group is F-43m (No. 216) and the conventional cell measures 8.356, 8.356 and 8.356 Å, with angles of 90.00, 90.00 and 90.00 degrees. The inequivalent atoms are La at (0.000, 0.000, 0.000), Mg at (0.124, 0.124, 0.624) and Au at (0.250, 0.250, 0.250).

Its density is 4.9 g/cm³. The offset from the most stable computed form is 308 meV/atom. The energy of formation from the pure elements comes out at -0.046 eV/atom.



The following is a PBE calculation of an optimized crystal structure of La2Mg3Au6, from Alexandria.

The space group is Cmmm (No. 65) and the conventional cell measures 10.390, 12.491 and 3.979 Å, with angles of 90.00, 90.00 and 90.00 degrees. The inequivalent atoms are La at (0.196, 0.000, 0.000), Mg at (0.000, 0.282, 0.000), Mg at (0.000, 0.500, 0.500), Au at (0.000, 0.120, 0.500) and Au at (0.177, 0.340, 0.500).

Its density is 9.9 g/cm³. The energy of formation from the pure elements comes out at -0.598 eV/atom.



The following is a PBE calculation of an optimized crystal structure of LaMg3Au, from Alexandria.

The space group is Pm-3m (No. 221) and the conventional cell measures 5.113, 5.113 and 5.113 Å, with angles of 90.00, 90.00 and 90.00 degrees. The inequivalent atoms are La at (0.000, 0.000, 0.000), Mg at (0.000, 0.500, 0.500) and Au at (0.500, 0.500, 0.500).

Its density is 5.1 g/cm³. The offset from the most stable computed form is 135 meV/atom. The energy of formation from the pure elements comes out at -0.240 eV/atom.



The following is a PBE calculation of an optimized crystal structure of La2MgMoAu, from Alexandria.

The space group is P4/mmm (No. 123) and the conventional cell measures 5.419, 5.419 and 5.242 Å, with angles of 90.00, 90.00 and 90.00 degrees. The inequivalent atoms are La at (0.000, 0.500, 0.000), Mg at (0.000, 0.000, 0.500), Mo at (0.500, 0.500, 0.000) and Au at (0.500, 0.500, 0.500).

Its density is 6.4 g/cm³. The energy of formation from the pure elements comes out at 0.293 eV/atom.



| no. | V (A^3/atom) | energy (eV/cell) |
| --- | --- | --- |
| 1 | 25.6 | -11.4 |
| 2 | 22.6 | -114.1 |
| 3 | 25.1 | -22.5 |
| 4 | 31.2 | -39.1 |
| 5 | 24.3 | -59.4 |
| 6 | 23.5 | -81.8 |
| 7 | 26.7 | -14.2 |
| 8 | 30.8 | -24.1 |